Computed, not measured: an optimized crystal structure of LaRuW2 at the PBE level of DFT.

Its space group is No. 123.

a = 4.779 Å, b = 4.779 Å, c = 3.173 Å
α = 90.00°, β = 90.00°, γ = 90.00°
Fractional positions:
W 0.500 0.500 0.000
W 0.000 0.000 0.000
Ru 0.000 0.500 0.500
La 0.500 0.000 0.500

Computed, not measured: an optimized crystal structure of LaRuW2 at the PBE level of DFT.

Its space group is No. 12.

a = 5.624 Å, b = 5.624 Å, c = 2.873 Å
α = 81.51°, β = 81.51°, γ = 122.00°
Fractional positions:
W 0.000 0.000 0.000
W 0.500 0.500 0.000
La 0.500 0.000 0.500
Ru 0.000 0.500 0.500

Computed, not measured: an optimized crystal structure of LaRuW2 at the PBE level of DFT.

Its space group is No. 139.

a = 5.797 Å, b = 5.797 Å, c = 5.797 Å
α = 140.78°, β = 140.78°, γ = 56.67°
Fractional positions:
W 0.500 0.500 0.000
W 0.000 0.000 0.000
La 0.250 0.750 0.500
Ru 0.750 0.250 0.500

Computed, not measured: an optimized crystal structure of LaRuW2 at the PBE level of DFT.

Its space group is No. 65.

a = 5.608 Å, b = 5.608 Å, c = 2.851 Å
α = 90.00°, β = 90.00°, γ = 123.29°
Fractional positions:
W 0.500 0.500 0.000
W 0.000 0.000 0.000
La 0.500 0.000 0.500
Ru 0.000 0.500 0.500

Number 1: ΔH_f (0 K) 0.887 eV per atom, total DFT energy (no corrections) -36.56 eV for the cell shown, offset from the most stable computed form 12.81 kcal/mol of atoms. Number 2: ΔH_f (0 K) 0.640 eV per atom, total DFT energy (no corrections) -37.55 eV for the cell shown, offset from the most stable computed form 7.11 kcal/mol of atoms. Number 3: ΔH_f (0 K) 0.740 eV per atom, total DFT energy (no corrections) -37.15 eV for the cell shown, offset from the most stable computed form 9.41 kcal/mol of atoms. Number 4: ΔH_f (0 K) 0.792 eV per atom, total DFT energy (no corrections) -36.94 eV for the cell shown, offset from the most stable computed form 10.62 kcal/mol of atoms.